The following is a DFT calculation (PBE-GGA) of a relaxed LiYRh2C crystal.

## Properties
DOS at the Fermi energy: 0.49 states/eV per atom
E_form: -0.296 eV per atom
Theoretical density: 7.1 Mg/m³

a b c (Å): 4.132 4.132 4.282
angles (deg): 90.00 90.00 90.00
Atoms (fractional coordinates):
Y: 0.500 0.500 0.500
C: 0.000 0.000 0.000
Rh: 0.000 0.500 0.000
Rh: 0.500 0.000 0.000
Li: 0.000 0.000 0.500

The following is a DFT calculation (PBE-GGA) of a relaxed Sr2Fe crystal.

## Properties
DOS at the Fermi energy: 2.19 states/eV per atom
E_form: 0.651 eV per atom
Theoretical density: 3.8 Mg/m³

a b c (Å): 5.563 5.563 7.466
angles (deg): 90.00 90.00 120.00
Site moments in Bohr magnetons follow the coordinates.
Atoms (fractional coordinates):
Sr: 0.000 0.000 0.000  -0.14
Sr: 0.000 0.000 0.500  -0.14
Sr: 0.333 0.667 0.750  -0.12
Sr: 0.667 0.333 0.250  -0.12
Fe: 0.333 0.667 0.250  2.82
Fe: 0.667 0.333 0.750  2.82

The following is a DFT calculation (PBE-GGA) of a relaxed Er4CdIn3 crystal.

## Properties
DOS at the Fermi energy: 0.95 states/eV per atom
E_form: -0.373 eV per atom
Theoretical density: 8.8 Mg/m³

a b c (Å): 3.726 4.777 11.996
angles (deg): 90.00 90.00 90.00
Atoms (fractional coordinates):
Er: 0.500 0.500 0.339
Er: 0.000 0.500 0.843
Er: 0.000 0.000 0.157
Er: 0.500 0.000 0.659
Cd: 0.500 0.500 0.076
In: 0.000 0.500 0.579
In: 0.000 0.000 0.422
In: 0.500 0.000 0.924

The following is a DFT calculation (PBE-GGA) of a relaxed Tb2TlH crystal.

## Properties
DOS at the Fermi energy: 0.95 states/eV per atom
Uncorrected energy: -3.76 eV/atom
Theoretical density: 9.9 Mg/m³

a b c (Å): 3.403 3.403 7.563
angles (deg): 90.00 90.00 90.00
Atoms (fractional coordinates):
H: 0.500 0.500 0.000
Tl: 0.500 0.500 0.500
Tb: 0.000 0.000 0.790
Tb: 0.000 0.000 0.210

The following is a DFT calculation (PBE-GGA) of a relaxed CaPm2ThSe4 crystal.

## Properties
DOS at the Fermi energy: 0.54 states/eV per atom
Theoretical density: 7.0 Mg/m³
Formation energy (no corrections): -1369.6 kJ/mol of formula units

a b c (Å): 4.163 7.213 7.359
angles (deg): 70.95 90.00 90.00
Atoms (fractional coordinates):
Ca: 0.500 0.500 0.000
Pm: 0.000 0.000 0.000
Pm: 0.500 0.000 0.500
Th: 0.000 0.500 0.500
Se: 0.000 0.745 0.755
Se: 0.000 0.255 0.245
Se: 0.500 0.748 0.245
Se: 0.500 0.252 0.755

The following is a DFT calculation (PBE-GGA) of a relaxed MnNiMoAu2 crystal.

## Properties
DOS at the Fermi energy: 1.33 states/eV per atom
E_form: 1.524 eV per atom
Theoretical density: 9.0 Mg/m³

a b c (Å): 5.043 4.402 5.043
angles (deg): 90.00 90.00 90.00
Site moments in Bohr magnetons follow the coordinates.
Atoms (fractional coordinates):
Ni: 0.500 0.500 0.500  0.18
Mo: 0.000 0.000 0.000  -0.68
Mn: 0.000 0.500 0.000  2.66
Au: 0.000 0.000 0.500  -0.06
Au: 0.500 0.000 0.000  -0.03